Pr5Er2Sb4: relaxed, GGA-PBE.

Structure (extended XYZ):
```
11
Lattice="-2.312 2.749 -2.477 -10.284 -6.057 2.878 -0.824 2.049 6.888" Properties=species:S:1:pos:R:3 pbc="T T T"
Pr -4.820 -1.558 2.770
Er -3.437 2.543 2.188
Pr -8.600 0.300 4.519
Sb -11.588 -1.234 5.605
Er -9.983 -3.801 5.100
Pr -4.755 1.475 6.076
Sb -5.961 1.313 3.179
Sb -7.459 -2.571 4.110
Pr -8.665 -2.733 1.213
Sb -1.832 -0.024 1.684
Pr -1.156 1.375 -1.238
```

Theoretical density in g cm⁻³: 6.98
Symmetry: C2/m (12)
E_form (uncorrected) in eV per atom: -0.76



Pr5ErSb6: relaxed, GGA-PBE.

Structure (extended XYZ):
```
12
Lattice="7.837 0.217 0.000 2.414 7.456 0.000 1.207 3.728 6.790" Properties=species:S:1:pos:R:3 pbc="T T T"
Pr 5.125 3.836 4.492
Pr 5.125 3.836 0.000
Sb 2.526 1.869 0.000
Pr 6.332 7.564 2.298
Sb 7.725 5.803 0.000
Sb 7.716 5.714 4.573
Pr 2.414 7.456 4.538
Sb 6.509 1.987 2.216
Sb 4.949 9.413 4.573
Sb 3.742 5.686 2.216
Pr 1.207 3.728 2.252
Er 0.000 0.000 0.000
```

Theoretical density in g cm⁻³: 6.77
Symmetry: C2/m (12)
E_form (uncorrected) in eV per atom: -1.17



PrErSb: relaxed, GGA-PBE.

Structure (extended XYZ):
```
3
Lattice="-2.639 -1.642 2.576 -2.229 -1.292 -3.108 5.241 -3.174 0.182" Properties=species:S:1:pos:R:3 pbc="T T T"
Er -1.615 -2.822 -0.291
Pr 1.924 -3.181 -0.057
Sb 0.064 -0.106 -0.002
```

Theoretical density in g cm⁻³: 8.08
Symmetry: I4mm (107)
E_form (uncorrected) in eV per atom: -0.63



PrEr3Sb3: relaxed, GGA-PBE.

Structure (extended XYZ):
```
14
Lattice="-3.102 0.085 -8.537 5.315 -2.851 -6.792 -1.393 -6.605 -4.392" Properties=species:S:1:pos:R:3 pbc="T T T"
Sb -0.779 -6.212 -12.477
Er 0.271 -3.442 -13.329
Pr -0.648 -7.506 -9.504
Sb 1.599 -3.159 -7.243
Pr 1.468 -1.864 -10.216
Sb -1.648 -2.408 -10.941
Er -3.118 -5.114 -10.840
Er 3.939 -4.256 -8.880
Sb 2.877 -4.230 -11.934
Sb -2.057 -5.140 -7.787
Er 0.549 -5.928 -6.392
Er 2.215 -7.238 -11.815
Sb 2.468 -6.963 -8.779
Er -1.395 -2.133 -7.905
```

Theoretical density in g cm⁻³: 7.67
Symmetry: R-3 (148)
E_form (uncorrected) in eV per atom: -0.87



Pr2Er2Sb5: relaxed, GGA-PBE.

Structure (extended XYZ):
```
18
Lattice="8.278 0.000 0.000 0.000 7.717 -4.622 0.000 -0.878 8.952" Properties=species:S:1:pos:R:3 pbc="T T T"
Sb 5.326 2.130 -1.197
Er 2.809 1.068 0.676
Sb 2.951 4.709 5.527
Er 6.948 2.352 1.489
Sb 1.188 3.590 -0.272
Sb 1.188 1.290 3.362
Sb 5.326 -0.171 2.437
Pr 0.000 0.772 6.346
Sb 4.139 3.420 2.165
Er 1.330 4.487 2.841
Sb 7.090 5.549 0.968
Sb 0.000 0.000 0.000
Pr 4.139 1.769 4.771
Sb 7.090 3.249 4.602
Pr 0.000 6.067 -2.016
Sb 2.951 7.010 1.893
Er 5.469 5.771 3.654
Pr 4.139 5.070 -0.441
```

Theoretical density in g cm⁻³: 7.56
Symmetry: Cmce (64)
E_form (uncorrected) in eV per atom: -0.86



PrErSb2: relaxed, GGA-PBE.

Structure (extended XYZ):
```
8
Lattice="4.440 0.000 0.000 -2.220 3.845 0.000 0.000 0.000 14.665" Properties=species:S:1:pos:R:3 pbc="T T T"
Pr 2.220 1.282 3.666
Sb 2.220 1.282 9.042
Sb 0.000 2.564 1.710
Sb 0.000 2.564 5.623
Er 0.000 0.000 0.000
Er 0.000 0.000 7.333
Pr 0.000 2.564 10.999
Sb 2.220 1.282 12.955
```

Theoretical density in g cm⁻³: 7.32
Symmetry: P6_3/mmc (194)
Polymorph energy (0 for the lowest one) in meV/atom: 49
E_form (uncorrected) in eV per atom: -1.09



Pr2ErSb3: relaxed, GGA-PBE.

Structure (extended XYZ):
```
6
Lattice="-1.043 -2.289 3.723 5.106 -3.698 -0.842 1.664 7.262 2.219" Properties=species:S:1:pos:R:3 pbc="T T T"
Sb 2.517 2.907 2.492
Pr 0.724 0.295 3.095
Pr 5.002 0.981 2.005
Sb 3.210 -1.632 2.608
Sb 0.000 0.000 0.000
Er 2.553 -1.849 -0.421
```

Theoretical density in g cm⁻³: 7.03
Symmetry: Immm (71)
Polymorph energy (0 for the lowest one) in meV/atom: 4
E_form (uncorrected) in eV per atom: -1.15



PrErSb2: relaxed, GGA-PBE.

Structure (extended XYZ):
```
4
Lattice="4.462 -0.002 -0.005 -2.232 3.864 0.005 -2.227 -1.289 7.263" Properties=species:S:1:pos:R:3 pbc="T T T"
Er -2.232 3.864 0.005
Pr 2.233 1.286 3.629
Sb 0.003 -0.002 5.543
Sb 0.001 2.575 1.720
```

Theoretical density in g cm⁻³: 7.32
Symmetry: R-3m (166)
Polymorph energy (0 for the lowest one) in meV/atom: 0
E_form (uncorrected) in eV per atom: -1.14



no.,V (Å³/atom)
1,32.99
2,32.76
3,29.46
4,31.19
5,29.90
6,31.30
7,32.05
8,31.30